# 1
Compound: FeSnAuSe3
Source: OQMD
Functional: GGA-PBE
Structure: relaxed

Computed properties:
- SG = Cmcm
- final energy (eV per cell) = -53.71

Cell: 8.0014 8.0014 9.5109 Å, 90.00 90.00 153.89°
Last column: nearest neighbours and their distance in Å.
Fractional positions:
Fe (0.0000, 0.0000, 0.0000)  6 Se 2.40-2.46
Fe (0.0000, 0.0000, 0.5000)  6 Se 2.40-2.46
Sn (0.3037, 0.6963, 0.7500)  2 Se 2.64, 2 Au 2.68
Sn (0.6963, 0.3037, 0.2500)  2 Se 2.64, 2 Au 2.68
Au (0.3234, 0.6766, 0.2500)  2 Sn 2.68, 4 Se 2.78-2.83
Au (0.6766, 0.3234, 0.7500)  2 Sn 2.68, 4 Se 2.78-2.83
Se (0.0411, 0.9589, 0.7500)  2 Fe 2.46
Se (0.3993, 0.6007, 0.5204)  2 Fe 2.40, 1 Sn 2.64
Se (0.3993, 0.6007, 0.9796)  2 Fe 2.40, 1 Sn 2.64
Se (0.6007, 0.3993, 0.0204)  2 Fe 2.40, 1 Sn 2.64
Se (0.6007, 0.3993, 0.4796)  2 Fe 2.40, 1 Sn 2.64
Se (0.9589, 0.0411, 0.2500)  2 Fe 2.46



# 2
Compound: SbW3CN
Source: OQMD
Functional: GGA-PBE
Structure: relaxed

Computed properties:
- SG = P-3m1
- final energy (eV per cell) = -116.08

Cell: 3.2305 3.2305 17.8517 Å, 90.00 90.00 120.00°
Last column: nearest neighbours and their distance in Å.
Fractional positions:
Sb (0.0000, 0.0000, 0.2466)  6 W 2.88-2.91, 6 Sb 3.23
Sb (0.0000, 0.0000, 0.7534)  6 W 2.88-2.91, 6 Sb 3.23
W (0.0000, 0.0000, 0.0000)  6 N 2.18
W (0.0000, 0.0000, 0.5000)  6 C 2.26
W (0.3333, 0.6667, 0.1233)  3 N 2.15
W (0.3333, 0.6667, 0.3718)  3 C 2.12
W (0.6667, 0.3333, 0.6282)  3 C 2.12
W (0.6667, 0.3333, 0.8767)  3 N 2.15
C (0.3333, 0.6667, 0.5715)  6 W 2.12-2.26
C (0.6667, 0.3333, 0.4285)  6 W 2.12-2.26
N (0.3333, 0.6667, 0.9364)  6 W 2.15-2.18
N (0.6667, 0.3333, 0.0636)  6 W 2.15-2.18



# 3
Compound: BaHf31O63
Source: OQMD
Functional: GGA-PBE
Structure: relaxed

Computed properties:
- SG = P1
- final energy (eV per cell) = -953.44

Cell: 10.0277 10.1231 10.4911 Å, 89.84 89.93 89.87°
Last column: nearest neighbours and their distance in Å.
Fractional positions:
Ba (0.0000, 0.0000, 0.0000)  5 O 2.45-2.71
Hf (0.0461, 0.4891, 0.0281)  7 O 2.05-2.26
Hf (0.0474, 0.7355, 0.2407)  6 O 2.02-2.25
Hf (0.0484, 0.2383, 0.2448)  7 O 2.06-2.22
Hf (0.0479, 0.4882, 0.5274)  7 O 2.03-2.21
Hf (0.0488, 0.9869, 0.5254)  6 O 2.02-2.20
Hf (0.0499, 0.2421, 0.7429)  7 O 2.04-2.24
Hf (0.0505, 0.7398, 0.7432)  7 O 2.08-2.19
Hf (0.2742, 0.9888, 0.2692)  7 O 2.08-2.24
Hf (0.2750, 0.7425, 0.9948)  7 O 2.07-2.25
Hf (0.2766, 0.4882, 0.2756)  7 O 2.03-2.22
Hf (0.2774, 0.4887, 0.7788)  7 O 2.04-2.24
Hf (0.2783, 0.2375, 0.4920)  7 O 2.05-2.23
Hf (0.2782, 0.7380, 0.4899)  7 O 2.02-2.21
Hf (0.2795, 0.2367, 0.9934)  7 O 2.05-2.25
Hf (0.2820, 0.9861, 0.7732)  7 O 2.03-2.28
Hf (0.5391, 0.4899, 0.0273)  5 O 2.00-2.14
Hf (0.5408, 0.9857, 0.5198)  6 O 1.99-2.23
Hf (0.5420, 0.7324, 0.7415)  5 O 1.99-2.14
Hf (0.5436, 0.2349, 0.2434)  5 O 2.01-2.16
Hf (0.5443, 0.4850, 0.5259)  6 O 2.02-2.24
Hf (0.5446, 0.2335, 0.7436)  6 O 2.02-2.25
Hf (0.5462, 0.7378, 0.2423)  7 O 2.02-2.22
Hf (0.5522, 0.9848, 0.0254)  6 O 2.00-2.21
Hf (0.7685, 0.2580, 0.9978)  6 O 2.01-2.15
Hf (0.7717, 0.9742, 0.7544)  6 O 1.99-2.20
Hf (0.7744, 0.7264, 0.9919)  6 O 1.97-2.20
Hf (0.7779, 0.9856, 0.2817)  5 O 1.95-2.19
Hf (0.7789, 0.2370, 0.4942)  7 O 2.04-2.25
Hf (0.7793, 0.4834, 0.7729)  7 O 2.02-2.26
Hf (0.7790, 0.7339, 0.4908)  7 O 2.06-2.21
Hf (0.7797, 0.4852, 0.2803)  6 O 2.01-2.22
O (0.1380, 0.6126, 0.8804)  4 Hf 2.12-2.25
O (0.1412, 0.1134, 0.3791)  4 Hf 2.11-2.21
O (0.1414, 0.6125, 0.3782)  4 Hf 2.12-2.21
O (0.1409, 0.8644, 0.3917)  4 Hf 2.09-2.26
O (0.1415, 0.3650, 0.8934)  4 Hf 2.12-2.21
O (0.1428, 0.3631, 0.3935)  4 Hf 2.12-2.22
O (0.1529, 0.8581, 0.8790)  3 Hf 2.08-2.14
O (0.1655, 0.1245, 0.8626)  3 Hf 2.05-2.12
O (0.1800, 0.1129, 0.6223)  4 Hf 2.10-2.28
O (0.1820, 0.3660, 0.1408)  4 Hf 2.11-2.25
O (0.1820, 0.6146, 0.6281)  4 Hf 2.14-2.24
O (0.1837, 0.8585, 0.1433)  3 Hf 2.08-2.16
O (0.1840, 0.8637, 0.6372)  4 Hf 2.13-2.21
O (0.1853, 0.3645, 0.6418)  4 Hf 2.12-2.23
O (0.1847, 0.6117, 0.1281)  4 Hf 2.13-2.20
O (0.1954, 0.1207, 0.1347)  3 Hf 2.07-2.22
O (0.3749, 0.5611, 0.9432)  3 Hf 2.00-2.16
O (0.3756, 0.0581, 0.4400)  3 Hf 1.99-2.18
O (0.3759, 0.5550, 0.4438)  3 Hf 2.02-2.15
O (0.3775, 0.8057, 0.3253)  3 Hf 2.02-2.20
O (0.3777, 0.3071, 0.3257)  3 Hf 2.01-2.16
O (0.3807, 0.3136, 0.8257)  3 Hf 2.02-2.17
O (0.3827, 0.8081, 0.8281)  3 Hf 1.99-2.16
O (0.3944, 0.0648, 0.9370)  3 Hf 2.00-2.21
O (0.4446, 0.8068, 0.5754)  3 Hf 2.02-2.13
O (0.4459, 0.5558, 0.6921)  3 Hf 2.04-2.13
O (0.4462, 0.5580, 0.1940)  3 Hf 2.03-2.14
O (0.4495, 0.3025, 0.5776)  3 Hf 2.05-2.15
O (0.4498, 0.3077, 0.0766)  3 Hf 2.05-2.12
O (0.4516, 0.8076, 0.0745)  3 Hf 2.07-2.12
O (0.4527, 0.0547, 0.6920)  3 Hf 2.03-2.13
O (0.4552, 0.0525, 0.1932)  3 Hf 2.08-2.12
O (0.6349, 0.3634, 0.8913)  4 Hf 2.04-2.26
O (0.6403, 0.8596, 0.3914)  4 Hf 2.11-2.21
O (0.6412, 0.3607, 0.3940)  4 Hf 2.11-2.26
O (0.6413, 0.6096, 0.8739)  4 Hf 2.11-2.26
O (0.6415, 0.6111, 0.3769)  4 Hf 2.13-2.24
O (0.6428, 0.1119, 0.3753)  4 Hf 2.11-2.25
O (0.6436, 0.8622, 0.8861)  4 Hf 2.13-2.25
O (0.6770, 0.8541, 0.6350)  3 Hf 1.99-2.19
O (0.6792, 0.1072, 0.6219)  4 Hf 2.12-2.25
O (0.6805, 0.3646, 0.1449)  4 Hf 2.08-2.26
O (0.6797, 0.6099, 0.1278)  4 Hf 2.08-2.27
O (0.6825, 0.1088, 0.8778)  2 Hf 2.08-2.15
O (0.6821, 0.3563, 0.6446)  4 Hf 2.11-2.27
O (0.6827, 0.6069, 0.6252)  4 Hf 2.13-2.26
O (0.6901, 0.8618, 0.1403)  4 Hf 2.14-2.24
O (0.6922, 0.1126, 0.1207)  4 Hf 2.10-2.33
O (0.8678, 0.5403, 0.9460)  3 Hf 2.05-2.16
O (0.8720, 0.0525, 0.4581)  3 Hf 2.02-2.19
O (0.8762, 0.3059, 0.3297)  3 Hf 2.06-2.12
O (0.8773, 0.5561, 0.4460)  3 Hf 2.03-2.12
O (0.8777, 0.3016, 0.8295)  3 Hf 2.04-2.17
O (0.8779, 0.8052, 0.3288)  3 Hf 2.06-2.14
O (0.8811, 0.8135, 0.8331)  3 Hf 2.08-2.17
O (0.9421, 0.8115, 0.5827)  3 Hf 2.06-2.16
O (0.9442, 0.0632, 0.2196)  2 Hf 1.95-2.08
O (0.9447, 0.7638, 0.0777)  2 Hf 1.97-2.02
O (0.9478, 0.3077, 0.5778)  3 Hf 2.04-2.15
O (0.9482, 0.5573, 0.6956)  3 Hf 2.02-2.18
O (0.9500, 0.0564, 0.7156)  2 Hf 2.01-2.15
O (0.9495, 0.2929, 0.0728)  2 Hf 2.01-2.13
O (0.9532, 0.5390, 0.2005)  3 Hf 2.01-2.25



# 4
Compound: NdHo2Mg3In2Hg
Source: OQMD
Functional: GGA-PBE
Structure: relaxed

Computed properties:
- SG = Amm2
- final energy (eV per cell) = -28.09

Cell: 4.6488 7.5874 7.5874 Å, 120.89 90.00 90.00°
Last column: nearest neighbours and their distance in Å.
Fractional positions:
Nd (0.0000, 0.0000, 0.0000)  1 Hg 3.22, 4 In 3.29, 6 Mg 3.44-3.60
Ho (0.0000, 0.4191, 0.8397)  1 Hg 3.15, 4 In 3.22, 2 Mg 3.49
Ho (0.0000, 0.8397, 0.4191)  1 Hg 3.15, 4 In 3.22, 2 Mg 3.49
Mg (0.5000, 0.1836, 0.4214)  2 In 2.92-2.95, 2 Hg 2.96, 2 Mg 3.11-3.14
Mg (0.5000, 0.4214, 0.1836)  2 In 2.92-2.95, 2 Hg 2.96, 2 Mg 3.11-3.14
Mg (0.5000, 0.6611, 0.6611)  2 Hg 2.90, 2 In 2.96, 2 Mg 3.11
In (0.5000, 0.0886, 0.7489)  3 Mg 2.92-2.96, 4 Ho 3.22
In (0.5000, 0.7489, 0.0886)  3 Mg 2.92-2.96, 4 Ho 3.22
Hg (0.0000, 0.4304, 0.4304)  6 Mg 2.90-2.96, 2 Ho 3.15, 1 Nd 3.22



# 5
Compound: TcNiPbW
Source: OQMD
Functional: GGA-PBE
Structure: relaxed

Computed properties:
- SG = F-43m
- final energy (eV per cell) = -30.26

Cell: 4.5047 4.5047 4.5047 Å, 60.00 60.00 60.00°
Last column: nearest neighbours and their distance in Å.
Fractional positions:
Tc (0.0000, 0.0000, 0.0000)  4 W 2.76, 4 Pb 2.76
Ni (0.5000, 0.5000, 0.5000)  4 W 2.76, 4 Pb 2.76
Pb (0.2500, 0.2500, 0.2500)  4 Ni 2.76, 4 Tc 2.76
W (0.7500, 0.7500, 0.7500)  4 Ni 2.76, 4 Tc 2.76



# 6
Compound: Tb3Mg2ZnCuPt2
Source: OQMD
Functional: GGA-PBE
Structure: relaxed

Computed properties:
- SG = Amm2
- final energy (eV per cell) = -40.80

Cell: 3.8950 7.4609 7.4609 Å, 120.34 90.00 90.00°
Last column: nearest neighbours and their distance in Å.
Fractional positions:
Tb (0.0000, 0.0000, 0.0000)  4 Pt 2.96, 2 Zn 3.12, 1 Cu 3.28
Tb (0.0000, 0.1557, 0.5561)  4 Pt 2.94-3.01, 1 Cu 2.99, 2 Zn 3.25, 2 Mg 3.26
Tb (0.0000, 0.5561, 0.1557)  4 Pt 2.94-3.01, 1 Cu 2.99, 2 Zn 3.25, 2 Mg 3.26
Mg (0.5000, 0.5698, 0.8120)  2 Cu 2.69, 2 Pt 2.83-2.88
Mg (0.5000, 0.8120, 0.5698)  2 Cu 2.69, 2 Pt 2.83-2.88
Zn (0.5000, 0.3290, 0.3290)  2 Cu 2.58
Cu (0.0000, 0.5576, 0.5576)  2 Zn 2.58, 4 Mg 2.69
Pt (0.5000, 0.2322, 0.8953)  2 Mg 2.83-2.88, 1 Zn 2.94, 6 Tb 2.94-3.01
Pt (0.5000, 0.8953, 0.2322)  2 Mg 2.83-2.88, 1 Zn 2.94, 6 Tb 2.94-3.01



# 7
Compound: PrScAg2Sn2
Source: OQMD
Functional: GGA-PBE
Structure: relaxed

Computed properties:
- SG = P3m1
- final energy (eV per cell) = -28.03

Cell: 4.7110 4.7110 7.3638 Å, 90.00 90.00 120.00°
Last column: nearest neighbours and their distance in Å.
Fractional positions:
Pr (0.0000, 0.0000, 0.0000)  3 Ag 3.19, 6 Sn 3.23-3.46
Sc (0.0000, 0.0000, 0.5020)  3 Ag 3.02, 6 Sn 3.13-3.33
Ag (0.3333, 0.6667, 0.6790)  4 Sn 2.79-2.86, 3 Sc 3.02
Ag (0.6667, 0.3333, 0.2268)  3 Sn 2.76
Sn (0.3333, 0.6667, 0.2903)  4 Ag 2.76-2.86
Sn (0.6667, 0.3333, 0.7638)  3 Ag 2.79



# 8
Compound: PrBPd
Source: OQMD
Functional: GGA-PBE
Structure: relaxed

Computed properties:
- SG = F-43m
- distance to the lowest polymorph of the same formula (meV/atom) = 928

Cell: 4.6037 4.6037 4.6037 Å, 60.00 60.00 60.00°
Last column: nearest neighbours and their distance in Å.
Fractional positions:
Pr (0.0000, 0.0000, 0.0000)  4 B 2.82, 4 Pd 2.82
B (0.7500, 0.7500, 0.7500)  4 Pr 2.82
Pd (0.2500, 0.2500, 0.2500)  4 Pr 2.82